(1)
VASP calculation (PBE) on a relaxed structure of Tl3AuC.

a = 5.588 Å, b = 5.588 Å, c = 5.588 Å
α = 90.00°, β = 90.00°, γ = 90.00°
Space group Pm-3m (No. 221)
Symmetry-distinct sites (fractional):
Tl 0.000 0.000 0.500 [3 per cell]
Au 0.000 0.000 0.000 [1 per cell]
C 0.500 0.500 0.500 [1 per cell]

Values from the calculation:
The distance to the lowest polymorph of the same formula comes out at 219.3 kJ/mol of formula units. As for the formation energy: 661 kJ/mol of formula units.

(2)
VASP calculation (PBE) on a relaxed structure of Pu2UC.

a = 3.7236 Å, b = 3.7236 Å, c = 20.4784 Å
α = 90.00°, β = 90.00°, γ = 120.00°
Space group R-3m (No. 166, hexagonal axes)
Symmetry-distinct sites (fractional):
Pu 0.0000 0.0000 0.0978 [6 per cell]
U 0.0000 0.0000 0.5000 [3 per cell]
C 0.0000 0.0000 0.0000 [3 per cell]

Values from the calculation:
The distance to the lowest polymorph of the same formula comes out at 254.4 kJ/mol of formula units. As for the formation energy: 413 kJ/mol of formula units.

(3)
VASP calculation (PBE) on a relaxed structure of LaNdGeI.

a = 4.3616 Å, b = 4.3616 Å, c = 23.9041 Å
α = 90.00°, β = 90.00°, γ = 120.00°
Space group R3m (No. 160, hexagonal axes)
Symmetry-distinct sites (fractional):
La 0.0000 0.0000 0.0000 [3 per cell]
Nd 0.0000 0.0000 0.2004 [3 per cell]
Ge 0.0000 0.0000 0.5998 [3 per cell]
I 0.0000 0.0000 0.4336 [3 per cell]

Values from the calculation:
Its raw formation energy is -4.16 eV per formula unit.

(4)
VASP calculation (PBE) on a relaxed structure of LiCaSb2Pt.

a = 5.712 Å, b = 5.712 Å, c = 5.146 Å
α = 90.00°, β = 90.00°, γ = 90.00°
Space group P4/mmm (No. 123)
Symmetry-distinct sites (fractional):
Li 0.000 0.000 0.000 [1 per cell]
Ca 0.500 0.500 0.500 [1 per cell]
Sb 0.000 0.500 0.500 [2 per cell]
Pt 0.500 0.500 0.000 [1 per cell]

Values from the calculation:
Its raw formation energy is 2.75 eV per formula unit.